ZnSi3Mo: optimized geometry, GGA-PBE.

Computed properties:
spin magnetization = 3.18 μB per cell
E_form (uncorrected) = 6.85 eV/f.u.
E_tot = -4.3039 eV/atom
crystal system = cubic

Cell: 4.583 4.583 4.583 Å, 90.00 90.00 90.00°
Element x y z (fractional)
1 Mo 0.500 0.500 0.500
2 Si 0.000 0.500 0.000
3 Si 0.000 0.000 0.500
4 Si 0.500 0.000 0.000
5 Zn 0.000 0.000 0.000



ZrSi2Mo: optimized geometry, GGA-PBE.

Computed properties:
spin magnetization = 0.00 μB per cell
E_form (uncorrected) = -2.02 eV/f.u.
E_tot = -8.0613 eV/atom
crystal system = orthorhombic

Cell: 3.903 3.432 5.051 Å, 70.16 90.00 90.00°
Element x y z (fractional)
1 Mo 0.500 0.766 0.844
2 Si 0.000 0.204 0.966
3 Si 0.500 0.051 0.273
4 Zr 0.000 0.479 0.417



ZrSi2Mo2: optimized geometry, GGA-PBE.

Computed properties:
spin magnetization = 0.00 μB per cell
E_form (uncorrected) = -1.88 eV/f.u.
E_tot = -8.5879 eV/atom
crystal system = tetragonal

Cell: 6.204 6.204 6.204 Å, 143.72 143.72 52.25°
Element x y z (fractional)
1 Zr 0.000 0.000 0.000
2 Si 0.603 0.603 0.000
3 Si 0.397 0.397 0.000
4 Mo 0.250 0.750 0.500
5 Mo 0.750 0.250 0.500



ZrSiMo3: optimized geometry, GGA-PBE.

Computed properties:
spin magnetization = 0.00 μB per cell
E_form (uncorrected) = 3.04 eV/f.u.
E_tot = -8.6844 eV/atom
crystal system = cubic

Cell: 4.543 4.543 4.543 Å, 90.00 90.00 90.00°
Element x y z (fractional)
1 Mo 0.000 0.500 0.000
2 Mo 0.000 0.000 0.500
3 Mo 0.500 0.000 0.000
4 Si 0.000 0.000 0.000
5 Zr 0.500 0.500 0.500